Record 1
{"formula": "PrSmBi2Se2", "functional": "PBE-GGA", "state": "relaxed", "final_energy_ev_per_atom": -5.367, "lattice_angstrom": [[4.331, 0.000, 0.000], [0.000, 4.331, 0.000], [0.000, 0.000, 9.189]], "species": ["Pr", "Sm", "Bi", "Bi", "Se", "Se"], "frac_coords": [[0.000, 0.000, 0.000], [0.500, 0.500, 0.391], [0.000, 0.500, 0.693], [0.500, 0.000, 0.693], [0.000, 0.000, 0.326], [0.500, 0.500, 0.071]]}

---

Record 2
{"formula": "SrAc3Pd8", "functional": "PBE-GGA", "state": "relaxed", "final_energy_ev_per_atom": -5.365, "lattice_angstrom": [[2.825, 1.631, 9.212], [-2.825, 1.631, 9.212], [0.000, -3.262, 9.212]], "species": ["Sr", "Ac", "Ac", "Ac", "Pd", "Pd", "Pd", "Pd", "Pd", "Pd", "Pd", "Pd"], "frac_coords": [[0.000, 0.000, 0.000], [0.370, 0.370, 0.370], [0.497, 0.497, 0.497], [0.876, 0.876, 0.876], [0.186, 0.186, 0.186], [0.436, 0.436, 0.934], [0.436, 0.934, 0.436], [0.438, 0.936, 0.936], [0.686, 0.686, 0.686], [0.934, 0.436, 0.436], [0.936, 0.438, 0.936], [0.936, 0.936, 0.438]]}

---

Record 3
{"formula": "HfBi2Te", "functional": "PBE-GGA", "state": "relaxed", "final_energy_ev_per_atom": -5.108, "lattice_angstrom": [[0.000, 3.784, 3.784], [3.784, 0.000, 3.784], [3.784, 3.784, 0.000]], "species": ["Hf", "Bi", "Bi", "Te"], "frac_coords": [[0.000, 0.000, 0.000], [0.250, 0.250, 0.250], [0.500, 0.500, 0.500], [0.750, 0.750, 0.750]]}

---

Record 4
{"formula": "HoGeNO", "functional": "PBE-GGA", "state": "relaxed", "e_above_lowest_polymorph_ev_per_atom": 0.351, "lattice_angstrom": [[4.734, 0.000, 0.000], [0.000, 4.734, 0.000], [0.000, 0.000, 4.834]], "species": ["Ho", "Ho", "Ge", "Ge", "N", "N", "O", "O"], "frac_coords": [[0.250, 0.750, 0.000], [0.750, 0.250, 0.000], [0.250, 0.250, 0.489], [0.750, 0.750, 0.511], [0.250, 0.250, 0.095], [0.750, 0.750, 0.905], [0.250, 0.750, 0.500], [0.750, 0.250, 0.500]]}